No. 1
## LaMn (PBE)

Data for a relaxed LaMn crystal.

Cell: 3.5063 3.5063 9.6405 Å, 90.00 90.00 120.00°
Closest atoms and distances in Å follow each position.
Positions (direct):
La  0.0000  0.0000  0.0000  6 Mn 3.15, 6 La 3.51
La  0.0000  0.0000  0.5000  6 Mn 3.15, 6 La 3.51
Mn  0.3333  0.6667  0.2500  6 La 3.15, 6 Mn 3.51
Mn  0.6667  0.3333  0.7500  6 La 3.15, 6 Mn 3.51

Computed properties:
Energy of formation = 0.56 eV per atom



No. 2
## Al2FeIN (PBE)

Data for a relaxed Al2FeIN crystal.

Cell: 3.7801 3.7801 6.5991 Å, 90.00 90.00 90.00°
Closest atoms and distances in Å follow each position.
Positions (direct):
Al  0.0000  0.5000  0.0000  2 N 1.89
Al  0.5000  0.0000  0.0000  2 N 1.89
Fe  0.0000  0.0000  0.5000  4 I 2.67
I  0.5000  0.5000  0.5000  4 Fe 2.67
N  0.5000  0.5000  0.0000  4 Al 1.89

Computed properties:
Formation energy (no corrections) = 0.458 eV per atom



No. 3
## Ti2B4C (PBE)

Data for a relaxed Ti2B4C crystal.

Cell: 5.9011 5.9011 5.9011 Å, 145.32 145.32 49.86°
Closest atoms and distances in Å follow each position.
Positions (direct):
Ti  0.1520  0.1520  0.0000  5 B 2.20-2.40
Ti  0.8480  0.8480  0.0000  5 B 2.20-2.40
B  0.0000  0.5000  0.5000  2 C 1.76
B  0.3577  0.3577  0.0000  1 C 1.52
B  0.5000  0.0000  0.5000  2 C 1.76
B  0.6423  0.6423  0.0000  1 C 1.52
C  0.5000  0.5000  0.0000  2 B 1.52

Computed properties:
Energy of formation = 0.60 eV per atom



No. 4
## LiPrNdHg (PBE)

Data for a relaxed LiPrNdHg crystal.

Cell: 5.4126 5.4126 5.4126 Å, 60.00 60.00 60.00°
Closest atoms and distances in Å follow each position.
Positions (direct):
Li  0.0000  0.0000  0.0000  4 Pr 3.31, 4 Nd 3.31
Pr  0.2500  0.2500  0.2500  4 Hg 3.31, 4 Li 3.31
Nd  0.7500  0.7500  0.7500  4 Hg 3.31, 4 Li 3.31
Hg  0.5000  0.5000  0.5000  4 Nd 3.31, 4 Pr 3.31

Computed properties:
Energy of formation = -0.21 eV per atom



No. 5
## Ce2TlZn5 (PBE)

Data for a relaxed Ce2TlZn5 crystal.

Cell: 8.5909 8.5909 9.0671 Å, 90.00 90.00 149.78°
Closest atoms and distances in Å follow each position.
Positions (direct):
Ce  0.0000  0.0000  0.0000  6 Zn 3.23-3.45, 4 Tl 3.32
Ce  0.0000  0.0000  0.5000  6 Zn 3.23-3.45, 4 Tl 3.32
Ce  0.2077  0.7923  0.7500  13 Zn 3.10-3.29, 2 Tl 3.37
Ce  0.7923  0.2077  0.2500  13 Zn 3.10-3.29, 2 Tl 3.37
Tl  0.4438  0.5562  0.2500  3 Zn 2.68-2.71
Tl  0.5562  0.4438  0.7500  3 Zn 2.68-2.71
Zn  0.1856  0.8144  0.1082  4 Zn 2.55-2.72
Zn  0.1856  0.8144  0.3918  4 Zn 2.55-2.72
Zn  0.3418  0.6582  0.0168  4 Zn 2.55-2.72, 1 Tl 2.71
Zn  0.3418  0.6582  0.4832  4 Zn 2.55-2.72, 1 Tl 2.71
Zn  0.3944  0.6056  0.7500  2 Zn 2.57, 1 Tl 2.68
Zn  0.6056  0.3944  0.2500  2 Zn 2.57, 1 Tl 2.68
Zn  0.6582  0.3418  0.5168  4 Zn 2.55-2.72, 1 Tl 2.71
Zn  0.6582  0.3418  0.9832  4 Zn 2.55-2.72, 1 Tl 2.71
Zn  0.8144  0.1856  0.6082  4 Zn 2.55-2.72
Zn  0.8144  0.1856  0.8918  4 Zn 2.55-2.72

Computed properties:
Energy of formation = -0.25 eV per atom



No. 6
## ZrAl2Au4 (PBE)

Data for a relaxed ZrAl2Au4 crystal.

Cell: 17.0791 4.3451 6.8811 Å, 90.00 90.00 90.00°
Closest atoms and distances in Å follow each position.
Positions (direct):
Zr  0.1434  0.2500  0.0358  10 Au 3.01-3.29, 4 Al 3.19-3.24
Zr  0.3566  0.7500  0.5358  10 Au 3.01-3.29, 4 Al 3.19-3.24
Zr  0.6434  0.2500  0.4642  10 Au 3.01-3.29, 4 Al 3.19-3.24
Zr  0.8566  0.7500  0.9642  10 Au 3.01-3.29, 4 Al 3.19-3.24
Al  0.0380  0.7500  0.2512  7 Au 2.59-2.72
Al  0.2161  0.2500  0.5504  7 Au 2.54-2.69
Al  0.2839  0.7500  0.0504  7 Au 2.54-2.69
Al  0.4620  0.2500  0.7512  7 Au 2.59-2.72
Al  0.5380  0.7500  0.2488  7 Au 2.59-2.72
Al  0.7161  0.2500  0.9496  7 Au 2.54-2.69
Al  0.7839  0.7500  0.4496  7 Au 2.54-2.69
Al  0.9620  0.2500  0.7488  7 Au 2.59-2.72
Au  0.0356  0.7500  0.8707  3 Al 2.62-2.65, 1 Au 2.79
Au  0.0685  0.2500  0.4764  4 Al 2.57-2.72
Au  0.1857  0.7500  0.3331  4 Al 2.57-2.69
Au  0.1925  0.7500  0.7584  3 Al 2.54-2.63, 1 Au 2.79
Au  0.3075  0.2500  0.2584  3 Al 2.54-2.63, 1 Au 2.79
Au  0.3143  0.2500  0.8331  4 Al 2.57-2.69
Au  0.4315  0.7500  0.9764  4 Al 2.57-2.72
Au  0.4644  0.2500  0.3707  3 Al 2.62-2.65, 1 Au 2.79
Au  0.5356  0.7500  0.6293  3 Al 2.62-2.65, 1 Au 2.79
Au  0.5685  0.2500  0.0236  4 Al 2.57-2.72
Au  0.6857  0.7500  0.1669  4 Al 2.57-2.69
Au  0.6925  0.7500  0.7416  3 Al 2.54-2.63, 1 Au 2.79
Au  0.8075  0.2500  0.2416  3 Al 2.54-2.63, 1 Au 2.79
Au  0.8143  0.2500  0.6669  4 Al 2.57-2.69
Au  0.9315  0.7500  0.5236  4 Al 2.57-2.72
Au  0.9644  0.2500  0.1293  3 Al 2.62-2.65, 1 Au 2.79

Computed properties:
Energy of formation = -0.45 eV per atom



No. 7
## Pr5Bi4As (PBE)

Data for a relaxed Pr5Bi4As crystal.

Cell: 16.4854 16.4854 16.4854 Å, 164.02 164.02 22.67°
Closest atoms and distances in Å follow each position.
Positions (direct):
Pr  0.0000  0.0000  0.0000  2 Bi 3.21, 4 As 3.24
Pr  0.2004  0.2004  0.0000  6 Bi 3.24-3.30
Pr  0.4063  0.4063  0.0000  1 As 3.03, 5 Bi 3.25-3.36
Pr  0.5937  0.5937  0.0000  1 As 3.03, 5 Bi 3.25-3.36
Pr  0.7996  0.7996  0.0000  6 Bi 3.24-3.30
Bi  0.0994  0.0994  0.0000  6 Pr 3.21-3.26
Bi  0.3024  0.3024  0.0000  6 Pr 3.24-3.36
Bi  0.6976  0.6976  0.0000  6 Pr 3.24-3.36
Bi  0.9006  0.9006  0.0000  6 Pr 3.21-3.26
As  0.5000  0.5000  0.0000  6 Pr 3.03-3.24

Computed properties:
Energy of formation = -1.04 eV per atom



No. 8
## Bi6I (PBE)

Data for a relaxed Bi6I crystal.

Cell: 7.5947 7.5947 7.5947 Å, 109.47 109.47 109.47°
Closest atoms and distances in Å follow each position.
Positions (direct):
Bi  0.2500  0.5000  0.7500  4 Bi 3.10
Bi  0.2500  0.7500  0.5000  4 Bi 3.10
Bi  0.5000  0.2500  0.7500  4 Bi 3.10
Bi  0.5000  0.7500  0.2500  4 Bi 3.10
Bi  0.7500  0.2500  0.5000  4 Bi 3.10
Bi  0.7500  0.5000  0.2500  4 Bi 3.10
I  0.0000  0.0000  0.0000  24 Bi 4.90

Computed properties:
Formation energy (no corrections) = 0.163 eV per atom



No. 9
## Na3CuTe3Se8 (PBE)

Data for a relaxed Na3CuTe3Se8 crystal.

Cell: 8.0682 8.0682 8.5279 Å, 117.60 117.60 60.99°
Closest atoms and distances in Å follow each position.
Positions (direct):
Na  0.0000  0.0000  0.0000  6 Se 3.05-3.09
Na  0.0000  0.5000  0.0000  6 Se 3.07-3.09
Na  0.5000  0.0000  0.0000  6 Se 3.07-3.09
Cu  0.0000  0.0000  0.5000  6 Se 2.48-2.74
Te  0.0000  0.5000  0.5000  6 Se 2.82-2.89
Te  0.5000  0.0000  0.5000  6 Se 2.82-2.89
Te  0.5000  0.5000  0.5000  6 Se 2.84
Se  0.2115  0.2115  0.6995  1 Cu 2.48
Se  0.2323  0.7491  0.7142  1 Cu 2.74, 2 Te 2.82-2.84
Se  0.2509  0.7677  0.2858  1 Cu 2.74, 2 Te 2.82-2.84
Se  0.2576  0.2576  0.2749  3 Te 2.84-2.85, 3 Na 3.05-3.07
Se  0.7424  0.7424  0.7251  3 Te 2.84-2.85, 3 Na 3.05-3.07
Se  0.7491  0.2323  0.7142  1 Cu 2.74, 2 Te 2.82-2.84
Se  0.7677  0.2509  0.2858  1 Cu 2.74, 2 Te 2.82-2.84
Se  0.7885  0.7885  0.3005  1 Cu 2.48

Computed properties:
Formation energy (no corrections) = -0.287 eV per atom



No. 10
## CuSb2Br (PBE)

Data for a relaxed CuSb2Br crystal.

Cell: 3.4325 3.4325 8.1835 Å, 90.00 90.00 101.67°
Closest atoms and distances in Å follow each position.
Positions (direct):
Cu  0.0000  0.0000  0.0000  4 Sb 2.72
Sb  0.5000  0.5000  0.2002  2 Cu 2.72
Sb  0.5000  0.5000  0.7998  2 Cu 2.72
Br  0.0000  0.0000  0.5000  8 Sb 3.27-3.62, 4 Br 3.43

Computed properties:
Formation energy (no corrections) = 0.092 eV per atom
Energy above the most stable polymorph in this dataset = 15.5 kJ/mol of atoms



No. 11
## Y2Mn (PBE)

Data for a relaxed Y2Mn crystal.

Cell: 8.4348 8.4348 5.4378 Å, 90.00 90.00 155.74°
Closest atoms and distances in Å follow each position.
Positions (direct):
Y  0.0648  0.9352  0.7500  2 Mn 3.10, 6 Y 3.44-3.46
Y  0.3657  0.6343  0.7500  4 Mn 3.00-3.06
Y  0.6343  0.3657  0.2500  4 Mn 3.00-3.06
Y  0.9352  0.0648  0.2500  2 Mn 3.10, 6 Y 3.44-3.46
Mn  0.2812  0.7188  0.2500  6 Y 3.00-3.10
Mn  0.7188  0.2812  0.7500  6 Y 3.00-3.10

Computed properties:
Energy of formation = 0.30 eV per atom



No. 12
## Ac6NdPt4 (PBE)

Data for a relaxed Ac6NdPt4 crystal.

Cell: 6.3745 6.3745 9.9995 Å, 110.08 110.08 84.63°
Closest atoms and distances in Å follow each position.
Positions (direct):
Ac  0.0000  0.0000  0.0000  5 Pt 3.14-3.31
Ac  0.3698  0.8893  0.7142  5 Pt 3.06-3.27
Ac  0.4674  0.9623  0.3797  2 Pt 3.17-3.19, 2 Nd 3.25-3.27
Ac  0.5398  0.5398  0.9968  5 Pt 3.13-3.31
Ac  0.8893  0.3698  0.7142  5 Pt 3.06-3.27
Ac  0.9623  0.4674  0.3797  2 Pt 3.17-3.19, 2 Nd 3.25-3.27
Nd  0.4230  0.4230  0.3014  2 Pt 2.95, 4 Ac 3.25-3.27
Pt  0.0638  0.5371  0.0602  1 Nd 2.95, 3 Ac 3.06-3.18
Pt  0.3553  0.3553  0.6434  7 Ac 3.13-3.27
Pt  0.5371  0.0638  0.0602  1 Nd 2.95, 3 Ac 3.06-3.18
Pt  0.8358  0.8358  0.6458  7 Ac 3.14-3.26

Computed properties:
Energy of formation = -0.75 eV per atom



Number 1: V 25.660 Å³/atom, density of states at the Fermi level 5.94 states/eV per cell, electronic total energy -6.493 eV per atom. Number 2: V 18.859 Å³/atom, density of states at the Fermi level 5.72 states/eV per cell, electronic total energy -4.707 eV per atom. Number 3: V 9.459 Å³/atom, density of states at the Fermi level 3.36 states/eV per cell, electronic total energy -6.789 eV per atom. Number 4: V 28.031 Å³/atom, density of states at the Fermi level 5.17 states/eV per cell, electronic total energy -3.147 eV per atom. Number 5: V 21.049 Å³/atom, density of states at the Fermi level 22.32 states/eV per cell, electronic total energy -2.830 eV per atom. Number 6: V 18.238 Å³/atom, density of states at the Fermi level 9.35 states/eV per cell, electronic total energy -4.615 eV per atom. Number 7: V 33.952 Å³/atom, density of states at the Fermi level 1.36 states/eV per cell, electronic total energy -5.447 eV per atom. Number 8: V 48.174 Å³/atom, density of states at the Fermi level 3.96 states/eV per cell, electronic total energy -3.385 eV per atom. Number 9: V 27.287 Å³/atom, density of states at the Fermi level 7.28 states/eV per cell, electronic total energy -3.311 eV per atom. Number 10: V 23.605 Å³/atom, density of states at the Fermi level 2.08 states/eV per cell, electronic total energy -3.411 eV per atom. Number 11: V 26.492 Å³/atom, density of states at the Fermi level 6.95 states/eV per cell, electronic total energy -7.064 eV per atom. Number 12: V 32.570 Å³/atom, density of states at the Fermi level 10.09 states/eV per cell, electronic total energy -5.616 eV per atom.